# YCuGeMo2 PBE-GGA relaxed
# **Theoretical density**: 6.871 g/cm³
# **Formation energy from the elements**: 0.6363 eV per atom
# **Calculated volume**: 20.15 A^3/atom
# **Electronic total energy**: -33.66 eV per formula unit
data_YCuGeMo2
_chemical_formula_sum 'Y1 Cu1 Ge1 Mo2'
_symmetry_space_group_name_H-M 'P 4/m m m'
_symmetry_Int_Tables_number 123
_symmetry_space_group_name_Hall '-P 4 2'
_cell_length_a 4.759
_cell_length_b 4.759
_cell_length_c 4.449
_cell_angle_alpha 90.00
_cell_angle_beta 90.00
_cell_angle_gamma 90.00
loop_
_atom_site_label
_atom_site_type_symbol
_atom_site_fract_x
_atom_site_fract_y
_atom_site_fract_z
Y1 Y 0.000 0.000 0.000
Cu1 Cu 0.500 0.500 0.000
Ge1 Ge 0.500 0.500 0.500
Mo1 Mo 0.000 0.500 0.500

# Ac2AlCd12Ag3 PBE-GGA relaxed
# **Theoretical density**: 7.725 g/cm³
# **Formation energy from the elements**: -0.0234 eV per atom
# **Calculated volume**: 25.72 A^3/atom
# **Electronic total energy**: -31.92 eV per formula unit
data_Ac2AlCd12Ag3
_chemical_formula_sum 'Ac6 Al3 Cd36 Ag9'
_symmetry_space_group_name_H-M 'R -3 m'
_symmetry_Int_Tables_number 166
_symmetry_space_group_name_Hall '-R 3 2"'
_cell_length_a 6.3408
_cell_length_b 6.3408
_cell_length_c 39.8866
_cell_angle_alpha 90.00
_cell_angle_beta 90.00
_cell_angle_gamma 120.00
loop_
_atom_site_label
_atom_site_type_symbol
_atom_site_fract_x
_atom_site_fract_y
_atom_site_fract_z
Ac1 Ac 0.0000 0.0000 0.1436
Al1 Al 0.0000 0.0000 0.5000
Cd1 Cd 0.0012 0.5006 0.8889
Cd2 Cd 0.0228 0.5114 0.6132
Ag1 Ag 0.0000 0.5000 0.0000

# Y2CrRh PBE-GGA relaxed
# **Energy relative to the lowest polymorph listed for this composition**: 172 meV/atom
# **Theoretical density**: 6.399 g/cm³
# **Formation energy from the elements**: -0.0427 eV per atom
# **Calculated volume**: 21.58 A^3/atom
# **Electronic total energy**: -30.07 eV per formula unit
data_Y2CrRh
_chemical_formula_sum 'Y4 Cr2 Rh2'
_symmetry_space_group_name_H-M 'I -4 m 2'
_symmetry_Int_Tables_number 119
_symmetry_space_group_name_Hall 'I -4 -2'
_cell_length_a 4.099
_cell_length_b 4.099
_cell_length_c 10.276
_cell_angle_alpha 90.00
_cell_angle_beta 90.00
_cell_angle_gamma 90.00
loop_
_atom_site_label
_atom_site_type_symbol
_atom_site_fract_x
_atom_site_fract_y
_atom_site_fract_z
Y1 Y 0.000 0.000 0.000
Y2 Y 0.000 0.500 0.250
Cr1 Cr 0.000 0.500 0.750
Rh1 Rh 0.000 0.000 0.500

# Cu2Ge2Se PBE-GGA relaxed
# **Raw formation energy**: 0.252 eV per atom
# **Energy relative to the lowest polymorph listed for this composition**: 69 meV/atom
# **Theoretical density**: 6.658 g/cm³
# **Calculated volume**: 17.52 A^3/atom
# **Electronic total energy**: -19.65 eV per formula unit
data_Cu2Ge2Se
_chemical_formula_sum 'Cu4 Ge4 Se2'
_symmetry_space_group_name_H-M 'I 4/m m m'
_symmetry_Int_Tables_number 139
_symmetry_space_group_name_Hall '-I 4 2'
_cell_length_a 3.988
_cell_length_b 3.988
_cell_length_c 11.018
_cell_angle_alpha 90.00
_cell_angle_beta 90.00
_cell_angle_gamma 90.00
loop_
_atom_site_label
_atom_site_type_symbol
_atom_site_fract_x
_atom_site_fract_y
_atom_site_fract_z
Cu1 Cu 0.000 0.500 0.250
Ge1 Ge 0.000 0.000 0.112
Se1 Se 0.000 0.000 0.500

# Na6AlSn2 PBE-GGA relaxed
# **Theoretical density**: 2.531 g/cm³
# **Formation energy from the elements**: -0.1059 eV per atom
# **Calculated volume**: 29.33 A^3/atom
# **Electronic total energy**: -20.62 eV per formula unit
data_Na6AlSn2
_chemical_formula_sum 'Na18 Al3 Sn6'
_symmetry_space_group_name_H-M 'R -3 m'
_symmetry_Int_Tables_number 166
_symmetry_space_group_name_Hall '-R 3 2"'
_cell_length_a 5.5029
_cell_length_b 5.5029
_cell_length_c 30.2007
_cell_angle_alpha 90.00
_cell_angle_beta 90.00
_cell_angle_gamma 120.00
loop_
_atom_site_label
_atom_site_type_symbol
_atom_site_fract_x
_atom_site_fract_y
_atom_site_fract_z
Na1 Na 0.0000 0.0000 0.0795
Na2 Na 0.0000 0.0000 0.2002
Na3 Na 0.0000 0.0000 0.3069
Al1 Al 0.0000 0.0000 0.5000
Sn1 Sn 0.0000 0.0000 0.4120

# Li2BiAu8 PBE-GGA relaxed
# **Theoretical density**: 13.966 g/cm³
# **Formation energy from the elements**: -0.2014 eV per atom
# **Calculated volume**: 19.44 A^3/atom
# **Electronic total energy**: -36.14 eV per formula unit
data_Li2BiAu8
_chemical_formula_sum 'Li4 Bi2 Au16'
_symmetry_space_group_name_H-M 'C 1 2/m 1'
_symmetry_Int_Tables_number 12
_symmetry_space_group_name_Hall '-C 2y'
_cell_length_a 14.323
_cell_length_b 5.691
_cell_length_c 5.271
_cell_angle_alpha 90.00
_cell_angle_beta 95.47
_cell_angle_gamma 90.00
loop_
_atom_site_label
_atom_site_type_symbol
_atom_site_fract_x
_atom_site_fract_y
_atom_site_fract_z
Li1 Li 0.155 0.000 0.309
Bi1 Bi 0.000 0.500 0.000
Au1 Au 0.000 0.240 0.500
Au2 Au 0.171 0.246 0.820
Au3 Au 0.174 0.500 0.349

# LiMnSi2 PBE-GGA relaxed
# **Raw formation energy**: -0.102 eV per atom
# **Energy relative to the lowest polymorph listed for this composition**: 91 meV/atom
# **Theoretical density**: 3.644 g/cm³
# **Calculated volume**: 13.45 A^3/atom
# **Electronic total energy**: -22.34 eV per formula unit
data_LiMnSi2
_chemical_formula_sum 'Li2 Mn2 Si4'
_symmetry_space_group_name_H-M 'C 1 2/m 1'
_symmetry_Int_Tables_number 12
_symmetry_space_group_name_Hall '-C 2y'
_cell_length_a 7.889
_cell_length_b 2.747
_cell_length_c 5.034
_cell_angle_alpha 90.00
_cell_angle_beta 99.46
_cell_angle_gamma 90.00
loop_
_atom_site_label
_atom_site_type_symbol
_atom_site_fract_x
_atom_site_fract_y
_atom_site_fract_z
Li1 Li 0.000 0.000 0.000
Mn1 Mn 0.000 0.500 0.500
Si1 Si 0.237 0.000 0.706

# CeNdSmCo PBE-GGA relaxed
# **Theoretical density**: 7.349 g/cm³
# **Formation energy from the elements**: 0.0542 eV per atom
# **Calculated volume**: 27.88 A^3/atom
# **Electronic total energy**: -22.31 eV per formula unit
data_CeNdSmCo
_chemical_formula_sum 'Ce1 Nd1 Sm1 Co1'
_symmetry_space_group_name_H-M 'P 1'
_symmetry_Int_Tables_number 1
_symmetry_space_group_name_Hall 'P 1'
_cell_length_a 3.708
_cell_length_b 3.710
_cell_length_c 9.351
_cell_angle_alpha 89.93
_cell_angle_beta 89.92
_cell_angle_gamma 60.13
loop_
_atom_site_label
_atom_site_type_symbol
_atom_site_fract_x
_atom_site_fract_y
_atom_site_fract_z
Ce1 Ce 0.000 0.000 0.000
Nd1 Nd 0.334 0.338 0.684
Sm1 Sm 0.001 0.002 0.366
Co1 Co 0.335 0.337 0.157

What is the formula in the seventh record? LiMnSi2